(1)
# BaAcRe2O8

An optimized crystal structure of BaAcRe2O8 (PBE, Alexandria).

Output
The mass density is 5.626 g/cm3. The total moment is 3.0 μB per cell. The energy is -7.9505 eV/atom.

Structure (extended XYZ):
```
12
Lattice="-3.531 3.442 -3.567 0.359 -6.000 -0.953 -6.124 -1.152 4.950" Properties=species:S:1:pos:R:3 pbc="T T T"
Ac -3.062 -0.576 2.475
Ba 0.000 0.000 0.000
O -2.856 -0.176 0.032
O -1.066 -2.877 -1.721
O -4.424 -1.441 -2.202
O -4.601 1.526 -1.731
O -4.872 -2.270 2.633
O -8.230 -0.834 2.151
O -4.695 -5.236 2.161
O -6.440 -3.534 0.398
Re -5.810 -3.769 2.114
Re -3.486 0.059 -1.684
```

=====

(2)
# Ba2AcReO8

An optimized crystal structure of Ba2AcReO8 (PBE, Alexandria).

Output
The mass density is 7.327 g/cm3. The total moment is 0.0 μB per cell. The energy is -7.2276 eV/atom.

Structure (extended XYZ):
```
12
Lattice="5.668 -0.033 0.009 0.027 4.855 0.793 -0.006 1.031 6.887" Properties=species:S:1:pos:R:3 pbc="T T T"
O 1.329 4.941 6.698
O 0.005 2.315 5.393
O 4.373 4.925 6.704
O 2.832 1.217 3.583
O 4.361 0.911 0.991
O 2.858 4.635 4.106
O 5.685 3.537 2.296
O 1.316 0.927 0.985
Ba 2.840 2.622 5.773
Ba 2.850 3.231 1.917
Ac -0.003 0.515 3.444
Re 0.000 0.000 0.000
```

=====

(3)
# Ba2AcReO6

An optimized crystal structure of Ba2AcReO6 (PBE, Alexandria).

Output
The mass density is 7.592 g/cm3. The total moment is 2.0 μB per cell. The energy is -7.4826 eV/atom.

Structure (extended XYZ):
```
10
Lattice="6.235 0.000 0.005 0.000 6.236 0.005 -3.114 -3.114 4.404" Properties=species:S:1:pos:R:3 pbc="T T T"
Re 3.122 -3.111 4.409
O 4.833 4.837 0.012
O 0.000 0.004 1.983
O -1.712 -1.709 4.401
O -1.712 1.723 4.410
O 1.719 -1.709 4.407
O 3.122 3.124 2.430
Ba 3.126 -0.002 2.207
Ba -0.005 3.130 2.208
Ac 0.004 0.007 4.409
```

=====

(4)
# BaAcReO6

An optimized crystal structure of BaAcReO6 (PBE, Alexandria).

Output
The mass density is 6.428 g/cm3. The total moment is 0.0 μB per cell. The energy is -7.7692 eV/atom.

Structure (extended XYZ):
```
9
Lattice="5.953 0.000 0.000 2.977 5.155 0.000 0.000 0.000 5.442" Properties=species:S:1:pos:R:3 pbc="T T T"
O 4.552 1.738 3.805
O 3.781 3.073 1.638
O 2.172 3.073 3.804
O 3.747 0.345 1.638
O 2.206 0.345 3.804
O 1.401 1.738 1.638
Re 2.977 1.718 2.721
Ba 8.930 5.155 5.442
Ac 5.953 3.437 2.721
```

=====

(5)
# Ba2AcRhO6

An optimized crystal structure of Ba2AcRhO6 (PBE, Alexandria).

Output
The mass density is 6.969 g/cm3. The total moment is 4.0 μB per cell. The energy is -6.6636 eV/atom.

Structure (extended XYZ):
```
20
Lattice="6.255 0.000 -0.093 0.000 6.126 0.000 -0.080 0.000 8.713" Properties=species:S:1:pos:R:3 pbc="T T T"
Rh 0.000 3.063 0.000
Rh 3.088 0.000 4.310
Ac 3.128 0.000 -0.046
Ac -0.040 3.063 4.357
O 4.804 4.491 8.321
O 0.344 3.056 6.762
O 1.680 1.391 4.010
O 1.408 4.454 0.301
O 4.460 1.428 4.610
O 2.664 6.119 6.262
O 5.831 3.070 1.859
O 1.372 1.635 0.300
O 3.512 0.007 2.359
O 1.716 4.698 4.011
O 4.495 4.734 4.611
O 4.768 1.672 8.320
Ba 6.142 0.016 6.490
Ba 3.054 3.047 2.179
Ba 0.034 6.109 2.131
Ba 3.121 3.079 6.441
```

=====

(6)
# BaAcRh2O8

An optimized crystal structure of BaAcRh2O8 (PBE, Alexandria).

Output
The mass density is 4.622 g/cm3. The total moment is 1.0 μB per cell. The energy is -6.3626 eV/atom.

Structure (extended XYZ):
```
12
Lattice="5.995 0.000 0.000 -2.997 5.192 0.000 0.000 0.000 8.058" Properties=species:S:1:pos:R:3 pbc="T T T"
O 2.998 1.731 7.921
O 1.480 0.880 2.276
O 4.493 0.842 2.276
O 1.518 4.312 5.782
O 3.019 3.470 2.276
O 0.000 3.461 0.137
O -0.022 1.721 5.782
O -1.496 4.350 5.782
Ba 0.000 0.000 0.000
Rh 0.000 3.461 6.402
Rh 2.998 1.731 1.656
Ac 0.000 0.000 4.029
```

=====

(7)
# BaAcRhO6

An optimized crystal structure of BaAcRhO6 (PBE, Alexandria).

Output
The mass density is 5.663 g/cm3. The total moment is 2.0 μB per cell. The energy is -6.4350 eV/atom.

Structure (extended XYZ):
```
9
Lattice="5.894 0.001 0.000 2.948 5.104 0.000 0.000 0.000 5.491" Properties=species:S:1:pos:R:3 pbc="T T T"
O 1.342 1.722 1.639
O 3.732 0.300 1.641
O 4.552 1.723 3.851
O 2.162 0.301 3.851
O 3.769 3.081 1.639
O 2.126 3.082 3.850
Ac 5.894 3.403 2.745
Rh 2.947 1.701 2.745
Ba 8.841 5.104 0.000
```

=====

(8)
# BaAcRu2O8

An optimized crystal structure of BaAcRu2O8 (PBE, Alexandria).

Output
The mass density is 4.594 g/cm3. The total moment is 3.0 μB per cell. The energy is -7.0146 eV/atom.

Structure (extended XYZ):
```
12
Lattice="-3.762 4.423 1.579 -0.978 -5.615 1.931 4.443 1.460 6.496" Properties=species:S:1:pos:R:3 pbc="T T T"
O -0.174 0.949 2.691
O 2.232 -0.100 5.574
O 1.535 2.513 8.085
O -1.832 -2.245 1.921
O -0.123 -0.680 7.315
O -2.530 0.369 4.432
O -2.035 3.151 3.468
O 1.737 -2.882 6.538
Ac 2.222 0.730 3.248
Ba 0.000 0.000 0.000
Ru -1.922 1.377 3.030
Ru 1.624 -1.108 6.976
```

=====

(9)
# Ba2AcRuO6

An optimized crystal structure of Ba2AcRuO6 (PBE, Alexandria).

Output
The mass density is 6.852 g/cm3. The total moment is 3.0 μB per cell. The energy is -6.9788 eV/atom.

Structure (extended XYZ):
```
10
Lattice="-3.674 -4.848 -1.249 4.247 -3.839 2.405 -2.160 4.745 3.373" Properties=species:S:1:pos:R:3 pbc="T T T"
O -4.045 0.121 2.948
O -2.029 2.784 3.633
O 0.303 0.677 4.954
O -0.842 0.179 1.783
O -0.740 -4.125 2.747
O 0.447 -6.730 0.898
Ac -1.871 0.399 3.951
Ba 1.190 -1.720 3.178
Ba -2.772 -2.225 1.351
Ru -5.832 -0.105 2.124
```

=====

(10)
# BaAcRuO6

An optimized crystal structure of BaAcRuO6 (PBE, Alexandria).

Output
The mass density is 5.648 g/cm3. The total moment is 1.0 μB per cell. The energy is -6.8912 eV/atom.

Structure (extended XYZ):
```
9
Lattice="-3.681 4.412 -1.369 -5.841 -0.860 0.189 -0.062 1.572 5.232" Properties=species:S:1:pos:R:3 pbc="T T T"
O -2.596 3.065 0.763
O -3.780 0.863 3.687
O -2.219 0.462 1.549
O -4.762 1.443 1.224
O -1.653 2.531 3.211
O -4.219 3.456 2.903
Ru -3.205 1.970 2.223
Ac -6.378 3.154 1.830
Ba -9.583 5.124 4.052
```

=====

(11)
# BaAcS2O8

An optimized crystal structure of BaAcS2O8 (PBE, Alexandria).

Output
The mass density is 4.326 g/cm3. The total moment is 0.5 μB per cell. The energy is -6.5750 eV/atom.

Structure (extended XYZ):
```
12
Lattice="5.289 0.000 0.000 -2.645 4.581 0.000 0.000 0.000 8.816" Properties=species:S:1:pos:R:3 pbc="T T T"
O -1.221 3.759 6.789
O 1.221 3.759 6.789
O 2.645 2.937 2.027
O 1.423 0.822 2.027
O 0.000 3.054 4.818
O 3.866 0.822 2.027
O 2.645 1.527 3.997
O 0.000 1.644 6.789
S 0.000 3.054 6.306
S 2.645 1.527 2.510
Ba 0.000 0.000 4.408
Ac 0.000 0.000 0.000
```

=====

(12)
# BaAc2SbO6

An optimized crystal structure of BaAc2SbO6 (PBE, Alexandria).

Output
The mass density is 6.784 g/cm3. The total moment is 0.9 μB per cell. The energy is -6.8173 eV/atom.

Structure (extended XYZ):
```
10
Lattice="6.079 0.000 0.000 0.000 5.708 0.000 0.000 0.000 5.708" Properties=species:S:1:pos:R:3 pbc="T T T"
O 4.562 4.396 4.396
O 1.421 0.000 0.000
O 4.562 1.311 4.396
O 0.648 2.854 2.854
O 4.562 4.396 1.311
O 4.562 1.311 1.311
Sb 3.644 0.000 0.000
Ba 3.196 2.854 2.854
Ac 6.016 0.000 2.854
Ac 6.016 2.854 0.000
```

=====

(13)
# BaAcSb2O8

An optimized crystal structure of BaAcSb2O8 (PBE, Alexandria).

Output
The mass density is 6.118 g/cm3. The total moment is 1.1 μB per cell. The energy is -6.4487 eV/atom.

Structure (extended XYZ):
```
12
Lattice="5.688 0.000 0.000 0.000 5.688 0.000 -2.844 -2.844 6.174" Properties=species:S:1:pos:R:3 pbc="T T T"
O 1.340 -0.950 5.188
O 3.794 4.184 0.986
O -0.815 1.480 2.011
O -1.364 3.659 4.164
O 1.893 1.504 0.986
O 0.815 4.208 2.011
O -1.340 0.950 5.188
O 1.364 2.029 4.164
Ac 0.000 0.000 0.000
Sb 0.000 2.844 3.087
Sb 2.844 2.844 0.000
Ba 2.844 0.000 3.087
```

=====

(14)
# BaAcScO4

An optimized crystal structure of BaAcScO4 (PBE, Alexandria).

Output
The mass density is 6.923 g/cm3. The total moment is 0.0 μB per cell. The energy is -7.8086 eV/atom.

Structure (extended XYZ):
```
7
Lattice="4.133 0.000 0.000 0.000 4.133 0.000 -2.067 -2.067 6.645" Properties=species:S:1:pos:R:3 pbc="T T T"
O 0.000 2.067 6.511
O 0.000 0.000 2.269
O 2.067 2.067 4.486
O 2.067 0.000 6.511
Ac 0.000 0.000 4.800
Sc 0.000 0.000 0.059
Ba 2.067 2.067 1.943
```

=====

(15)
# BaAcSe2O8

An optimized crystal structure of BaAcSe2O8 (PBE, Alexandria).

Output
The mass density is 4.365 g/cm3. The total moment is 0.0 μB per cell. The energy is -6.0313 eV/atom.

Structure (extended XYZ):
```
12
Lattice="-2.740 4.570 -2.621 -0.098 -5.370 -2.534 -6.803 -1.773 4.021" Properties=species:S:1:pos:R:3 pbc="T T T"
O -7.219 -2.834 -0.675
O -4.454 -2.962 -0.509
O -5.835 -2.444 1.839
O -3.759 2.490 -1.737
O -5.187 0.389 -0.625
O -5.882 -5.063 0.603
O -2.422 0.261 -0.459
O -3.807 -0.129 -2.973
Se -3.780 0.756 -1.457
Se -5.861 -3.329 0.323
Ba -3.402 -0.887 2.010
Ac 0.000 0.000 0.000
```

=====

(16)
# BaAcSeO6

An optimized crystal structure of BaAcSeO6 (PBE, Alexandria).

Output
The mass density is 5.494 g/cm3. The total moment is 1.1 μB per cell. The energy is -6.0872 eV/atom.

Structure (extended XYZ):
```
9
Lattice="-2.781 -4.983 1.412 2.267 -3.578 4.077 -2.777 2.646 3.866" Properties=species:S:1:pos:R:3 pbc="T T T"
O -0.424 -2.939 4.057
O -0.332 -0.766 2.637
O -2.656 -0.090 3.474
O -0.811 -0.681 5.204
O -2.825 -2.284 4.855
O -2.312 -2.423 2.349
Ba -2.777 2.645 3.866
Ac -1.731 -4.384 5.592
Se -1.560 -1.530 3.763
```

=====

(17)
# Ba2AcSeO6

An optimized crystal structure of Ba2AcSeO6 (PBE, Alexandria).

Output
The mass density is 6.714 g/cm3. The total moment is 0.0 μB per cell. The energy is -6.2575 eV/atom.

Structure (extended XYZ):
```
10
Lattice="-5.838 -0.731 1.912 -0.254 -5.478 -2.870 -1.613 -5.074 3.150" Properties=species:S:1:pos:R:3 pbc="T T T"
O -5.306 -7.291 1.035
O -5.918 -7.107 3.749
O -1.787 -4.176 -1.558
O -6.035 -9.576 2.455
O -2.399 -3.992 1.157
O -1.671 -1.706 -0.263
Ba -5.249 -4.453 2.291
Ba -2.456 -6.829 -0.099
Se -3.046 -3.104 -0.479
Ac 0.000 0.000 0.000
```

=====

(18)
# BaAc2SeO8

An optimized crystal structure of BaAc2SeO8 (PBE, Alexandria).

Output
The mass density is 6.773 g/cm3. The total moment is 2.1 μB per cell. The energy is -6.4080 eV/atom.

Structure (extended XYZ):
```
12
Lattice="-5.390 0.184 1.216 2.929 -4.556 1.107 1.605 2.662 6.710" Properties=species:S:1:pos:R:3 pbc="T T T"
O -1.007 -3.340 2.723
O 1.050 -1.494 4.877
O -2.713 1.728 6.957
O 0.152 1.631 6.310
O -1.905 -0.215 4.156
O 0.301 -1.016 1.488
O 1.858 -3.438 2.076
O -1.156 -0.693 7.545
Ac -2.388 -1.017 2.134
Ac 1.533 -0.692 6.899
Ba 0.803 1.331 3.355
Se 0.000 0.000 0.000
```

=====

(19)
# Ba2AcSmO4

An optimized crystal structure of Ba2AcSmO4 (PBE, Alexandria).

Output
The mass density is 7.613 g/cm3. The total moment is 0.0 μB per cell. The energy is -6.6944 eV/atom.

Structure (extended XYZ):
```
8
Lattice="3.758 0.000 0.000 0.000 6.531 0.125 0.000 -2.273 6.320" Properties=species:S:1:pos:R:3 pbc="T T T"
Ba 0.000 2.129 3.223
Ba 1.879 -1.137 3.160
Ac 1.879 3.265 0.063
O 1.879 3.286 5.194
O 0.000 -0.195 5.083
O 1.879 0.971 1.251
O 0.000 4.452 1.362
Sm 0.000 0.000 0.000
```

=====

(20)
# Ba4AcSn3O12

An optimized crystal structure of Ba4AcSn3O12 (PBE, Alexandria).

Output
The mass density is 6.669 g/cm3. The total moment is 1.1 μB per cell. The energy is -6.4128 eV/atom.

Structure (extended XYZ):
```
20
Lattice="-1.340 4.872 5.595 -6.403 -1.351 -3.743 2.645 -6.452 2.865" Properties=species:S:1:pos:R:3 pbc="T T T"
Ba -2.549 -1.465 2.359
Ba -3.201 -0.676 -1.871
Ba 1.322 -3.226 1.433
Ba -0.670 2.436 2.797
Sn -3.871 1.760 0.926
Sn -1.879 -3.901 -0.439
Sn 0.653 -0.790 4.230
O -1.283 0.090 4.693
O -4.811 -0.190 0.707
O -0.287 -2.741 4.011
O -2.738 -5.685 -0.639
O -5.642 2.565 1.349
O -2.101 0.955 0.503
O -1.553 -4.296 1.676
O 0.354 -0.429 2.296
O -1.020 -2.117 -0.238
O 0.951 -1.151 6.164
O -3.815 -3.021 0.024
O -3.545 1.365 3.041
Ac 0.000 0.000 0.000
```